A plane-wave DFT calculation with GGA-PBE was carried out for HgPAu2 after structural relaxation.

## Properties
DFT formation energy   0.8 eV per formula unit
E above lowest polymorph   80.0 meV/atom

Lattice parameters (Å, degrees): 10.115 3.539 5.182 90.00 91.74 90.00
Space group Cm (No. 8)
Asymmetric unit:
Hg1 0.000 0.000 0.000 [2 per cell]
P1 0.285 0.500 0.656 [2 per cell]
Au1 0.133 0.000 0.496 [2 per cell]
Au2 0.422 0.000 0.444 [2 per cell]



A plane-wave DFT calculation with GGA-PBE was carried out for Hg2PAu after structural relaxation.

## Properties
DFT formation energy   1.7 eV per formula unit

Lattice parameters (Å, degrees): 4.308 4.308 8.685 90.00 90.00 90.00
Space group I-4m2 (No. 119)
Asymmetric unit:
Hg1 0.000 0.000 0.000 [2 per cell]
Hg2 0.000 0.500 0.250 [2 per cell]
P1 0.000 0.500 0.750 [2 per cell]
Au1 0.000 0.000 0.500 [2 per cell]



A plane-wave DFT calculation with GGA-PBE was carried out for HgP2Au after structural relaxation.

## Properties
DFT formation energy   2.3 eV per formula unit

Lattice parameters (Å, degrees): 2.797 2.797 10.132 90.00 90.00 90.00
Space group P4/mmm (No. 123)
Asymmetric unit:
Hg1 0.000 0.000 0.000 [1 per cell]
P1 0.500 0.500 0.295 [2 per cell]
Au1 0.000 0.000 0.500 [1 per cell]



A plane-wave DFT calculation with GGA-PBE was carried out for Hg3PAu after structural relaxation.

## Properties
DFT formation energy   1.9 eV per formula unit
E above lowest polymorph   0.0 meV/atom

Lattice parameters (Å, degrees): 5.158 5.158 5.158 90.00 90.00 90.00
Space group Pm-3m (No. 221)
Asymmetric unit:
Hg1 0.000 0.000 0.500 [3 per cell]
P1 0.000 0.000 0.000 [1 per cell]
Au1 0.500 0.500 0.500 [1 per cell]



A plane-wave DFT calculation with GGA-PBE was carried out for HgP2Au after structural relaxation.

## Properties
DFT formation energy   2.7 eV per formula unit

Lattice parameters (Å, degrees): 4.344 4.344 7.860 90.00 90.00 90.00
Space group I-4m2 (No. 119)
Asymmetric unit:
Hg1 0.000 0.000 0.000 [2 per cell]
P1 0.000 0.000 0.500 [2 per cell]
P2 0.000 0.500 0.750 [2 per cell]
Au1 0.000 0.500 0.250 [2 per cell]



A plane-wave DFT calculation with GGA-PBE was carried out for HgPAu2 after structural relaxation.

## Properties
DFT formation energy   1.3 eV per formula unit
E above lowest polymorph   215.1 meV/atom

Lattice parameters (Å, degrees): 3.026 3.026 8.394 90.00 90.00 90.00
Space group P4mm (No. 99)
Asymmetric unit:
Hg1 0.000 0.000 0.000 [1 per cell]
P1 0.500 0.500 0.289 [1 per cell]
Au1 0.000 0.000 0.482 [1 per cell]
Au2 0.500 0.500 0.732 [1 per cell]